No. 1
## Lu2TlOs (PBE)

Data for crystalline Lu2TlOs at its relaxed geometry.

Lattice parameters (Å, degrees): 4.885 4.885 4.885 60.00 60.00 60.00
Sites, in units of the cell vectors:
Lu  0.750  0.750  0.750
Lu  0.000  0.000  0.000
Os  0.250  0.250  0.250
Tl  0.500  0.500  0.500

- E: -5.576 eV/atom
- Crystal system: cubic

No. 2
## LuUOs (PBE)

Data for crystalline LuUOs at its relaxed geometry.

Lattice parameters (Å, degrees): 4.697 4.697 4.697 60.00 60.00 60.00
Sites, in units of the cell vectors:
Lu  0.250  0.250  0.250
U  0.750  0.750  0.750
Os  0.000  0.000  0.000

- Energy of formation from the pure elements: 0.1263 eV/atom
- Crystal system: cubic
- Energy above the lowest structure with this stoichiometry: 0 meV per atom

No. 3
## YLu2Os (PBE)

Data for crystalline YLu2Os at its relaxed geometry.

Lattice parameters (Å, degrees): 5.056 5.056 5.056 60.00 60.00 60.00
Sites, in units of the cell vectors:
Lu  0.250  0.250  0.250
Lu  0.000  0.000  0.000
Y  0.750  0.750  0.750
Os  0.500  0.500  0.500

- Energy of formation from the pure elements: 0.0629 eV/atom
- Crystal system: cubic

No. 4
## LuZnOs2 (PBE)

Data for crystalline LuZnOs2 at its relaxed geometry.

Lattice parameters (Å, degrees): 4.527 4.527 4.527 60.00 60.00 60.00
Sites, in units of the cell vectors:
Os  0.750  0.750  0.750
Zn  0.500  0.500  0.500
Os  0.000  0.000  0.000
Lu  0.250  0.250  0.250

- Energy of formation from the pure elements: 0.1882 eV/atom
- Crystal system: cubic

No. 5
## LuP2 (PBE)

Data for crystalline LuP2 at its relaxed geometry.

Lattice parameters (Å, degrees): 8.524 8.524 8.524 60.00 60.00 60.00
Sites, in units of the cell vectors:
P  0.875  0.375  0.375
Lu  0.250  0.250  0.250
P  0.375  0.375  0.375
P  0.375  0.375  0.875
Lu  0.500  0.500  0.500
P  0.375  0.875  0.375

- E: -4.342 eV/atom
- Crystal system: cubic

No. 6
## LuP (PBE)

Data for crystalline LuP at its relaxed geometry.

Lattice parameters (Å, degrees): 4.354 4.354 4.354 60.00 60.00 60.00
Sites, in units of the cell vectors:
Lu  0.000  0.000  0.000
P  0.250  0.250  0.250

- E: -6.016 eV/atom
- Crystal system: cubic

No. 7
## Lu5P (PBE)

Data for crystalline Lu5P at its relaxed geometry.

Lattice parameters (Å, degrees): 9.226 9.226 6.082 90.00 90.00 141.35
Sites, in units of the cell vectors:
Lu  0.790  0.708  0.750
Lu  0.292  0.210  0.750
P  0.329  0.671  0.250
Lu  0.806  0.194  0.998
Lu  0.194  0.806  0.002
Lu  0.629  0.371  0.250
Lu  0.371  0.629  0.750
Lu  0.210  0.292  0.250
P  0.671  0.329  0.750
Lu  0.194  0.806  0.498
Lu  0.708  0.790  0.250
Lu  0.806  0.194  0.502

- E: -4.829 eV/atom
- Crystal system: orthorhombic

No. 8
## Lu2P (PBE)

Data for crystalline Lu2P at its relaxed geometry.

Lattice parameters (Å, degrees): 8.482 8.482 8.482 60.00 60.00 60.00
Each line ends with the local moment (μB).
Sites, in units of the cell vectors:
P  0.250  0.250  0.250  0.03
Lu  0.875  0.375  0.375  0.18
P  0.500  0.500  0.500  0.03
Lu  0.375  0.375  0.875  0.32
Lu  0.375  0.375  0.375  0.31
Lu  0.375  0.875  0.375  0.31

- E: -4.207 eV/atom
- Crystal system: cubic

No. 9
## LuP (PBE)

Data for crystalline LuP at its relaxed geometry.

Lattice parameters (Å, degrees): 6.419 5.195 5.363 90.00 90.00 90.00
Sites, in units of the cell vectors:
Lu  0.250  0.000  0.831
Lu  0.750  0.000  0.169
P  0.750  0.500  0.093
P  0.250  0.000  0.334
Lu  0.500  0.500  0.500
P  0.250  0.500  0.907
Lu  0.000  0.500  0.500
P  0.750  0.000  0.666

- E: -5.843 eV/atom
- Crystal system: orthorhombic

No. 10
## LuP (PBE)

Data for crystalline LuP at its relaxed geometry.

Lattice parameters (Å, degrees): 3.913 3.913 3.913 60.00 60.00 60.00
Sites, in units of the cell vectors:
P  0.500  0.500  0.500
Lu  0.000  0.000  0.000

- E: -6.553 eV/atom
- Crystal system: cubic

No. 11
## LuP (PBE)

Data for crystalline LuP at its relaxed geometry.

Lattice parameters (Å, degrees): 3.398 3.398 3.393 90.00 90.00 90.00
Sites, in units of the cell vectors:
P  0.500  0.500  0.000
Lu  0.000  0.000  0.500

- E: -5.975 eV/atom
- Crystal system: cubic

No. 12
## Lu2P (PBE)

Data for crystalline Lu2P at its relaxed geometry.

Lattice parameters (Å, degrees): 5.889 5.889 5.889 60.00 60.00 60.00
Sites, in units of the cell vectors:
P  0.250  0.250  0.250
Lu  0.625  0.625  0.625
Lu  0.625  0.625  0.125
P  0.000  0.000  0.000
Lu  0.125  0.625  0.625
Lu  0.625  0.125  0.625

- E: -4.435 eV/atom
- Crystal system: cubic

| no. | ρ (g cm⁻³) |
| --- | --- |
| 1 | 15.00 |
| 2 | 13.67 |
| 3 | 11.43 |
| 4 | 15.72 |
| 5 | 1.80 |
| 6 | 5.86 |
| 7 | 9.30 |
| 8 | 2.93 |
| 9 | 7.65 |
| 10 | 8.07 |
| 11 | 8.73 |
| 12 | 8.76 |